Record 1
Computed, not measured: an optimized crystal structure of Y2Ga3Cu at the PBEsol level of DFT.

```
6
Lattice="4.3105 0.0000 0.0000 -2.1552 3.7330 0.0000 0.0000 0.0000 7.1318" Properties=species:S:1:pos:R:3 pbc="T T T"
Cu 0.0000 0.0000 0.2226
Ga 2.1552 1.2443 6.9981
Y 0.0000 2.4887 1.6617
Y 0.0000 2.4887 5.4272
Ga 2.1552 1.2443 3.8566
Ga 0.0000 0.0000 3.2293
```

For the density of states at the Fermi level, the calculation gives 1.34 states/eV/f.u. The total energy is -31.91 eV for the cell shown.


Record 2
Computed, not measured: an optimized crystal structure of InPb2 at the PBEsol level of DFT.

```
6
Lattice="3.4063 0.0000 0.0000 -1.7032 6.5104 0.1700 0.0000 -2.1771 7.5869" Properties=species:S:1:pos:R:3 pbc="T T T"
Pb 1.7032 2.1977 1.1296
Pb 1.7032 0.5742 4.0929
Pb 0.0000 3.7591 3.6640
In 1.7032 5.7711 1.5888
In 0.0000 -1.4377 6.1681
Pb 0.0000 2.1357 6.6273
```

For the density of states at the Fermi level, the calculation gives 1.45 states/eV/f.u. The total energy is -21.81 eV for the cell shown.


Record 3
Computed, not measured: an optimized crystal structure of P2PtPb at the PBEsol level of DFT.

```
4
Lattice="4.0793 0.0000 0.0000 0.0000 4.3961 0.0931 0.0000 -0.4810 4.6490" Properties=species:S:1:pos:R:3 pbc="T T T"
P 0.0000 3.8746 4.4132
P 2.0397 3.3008 0.6059
Pt 2.0397 0.7198 4.3415
Pb 0.0000 1.8925 2.4946
```

For the density of states at the Fermi level, the calculation gives 0.83 states/eV/f.u. The total energy is -22.61 eV for the cell shown.


Record 4
Computed, not measured: an optimized crystal structure of ZnIn3Ge at the PBEsol level of DFT.

```
5
Lattice="5.2642 0.0000 0.0000 0.0000 5.2642 0.0000 0.0000 0.0000 5.2642" Properties=species:S:1:pos:R:3 pbc="T T T"
Zn 2.6321 2.6321 2.6321
In 0.0000 2.6321 0.0000
Ge 0.0000 0.0000 0.0000
In 0.0000 0.0000 2.6321
In 2.6321 0.0000 0.0000
```

For the density of states at the Fermi level, the calculation gives 3.10 states/eV/f.u. The total energy is -12.80 eV for the cell shown.


Record 5
Computed, not measured: an optimized crystal structure of AlNi3C at the PBEsol level of DFT.

```
5
Lattice="3.7219 0.0000 0.0000 0.0000 3.7219 0.0000 0.0000 0.0000 3.7219" Properties=species:S:1:pos:R:3 pbc="T T T"
Ni 1.8609 1.8609 0.0000
Al 0.0000 0.0000 0.0000
C 1.8609 1.8609 1.8609
Ni 1.8609 0.0000 1.8609
Ni 0.0000 1.8609 1.8609
```

For the density of states at the Fermi level, the calculation gives 1.84 states/eV/f.u. The total energy is -33.36 eV for the cell shown.


Record 6
Computed, not measured: an optimized crystal structure of GeBRh2Au at the PBEsol level of DFT.

```
5
Lattice="-0.9787 -2.8710 3.3630 0.5738 -3.7809 -3.0608 4.7480 -0.2353 1.1808" Properties=species:S:1:pos:R:3 pbc="T T T"
Rh 2.3740 -0.1177 0.5904
Ge -0.4893 -1.4355 1.6815
B 2.1716 -3.4436 0.7415
Rh 0.2869 -1.8905 -1.5304
Au 0.0000 0.0000 0.0000
```

For the density of states at the Fermi level, the calculation gives 7.93 states/eV/f.u. The total energy is -20.86 eV for the cell shown.